No. 1
Compound: Pr5In
Source: Alexandria
Functional: PBE
Structure: relaxed

Lattice parameters (Å, degrees): 4.9478 6.2635 7.3673 106.76 90.00 113.26
Element x y z (fractional)
Pr 0.0385 0.0770 0.5670
Pr 0.3504 0.7008 0.2108
Pr 0.3668 0.7336 0.7309
Pr 0.6944 0.3889 0.3888
In 0.6945 0.3890 0.8890
Pr 0.0221 0.0441 0.0468

Summary:
Its total energy is -4.58 eV/atom. The value obtained for the energy relative to the elements is -0.8 eV per formula unit. The energy relative to the lowest polymorph listed for this composition comes out at 12.5 meV/atom. Its symmetry is C2/m. As for the density of states at the Fermi level: 8.1 states/eV per cell.

=====

No. 2
Compound: CsV
Source: Alexandria
Functional: PBE
Structure: relaxed

Lattice parameters (Å, degrees): 14.5727 14.5727 3.3446 90.00 90.00 120.00
Each line ends with the local moment (μB).
Element x y z (fractional)
V 0.4714 0.5286 0.2500  0.37
Cs 0.7908 0.2092 0.2500  -0.01
Cs 0.2092 0.4183 0.7500  -0.01
Cs 0.5817 0.7908 0.7500  -0.01
V 0.9428 0.4714 0.7500  0.37
Cs 0.2092 0.7908 0.7500  -0.01
V 0.4714 0.9428 0.2500  0.37
V 0.5286 0.4714 0.7500  0.37
V 0.0572 0.5286 0.2500  0.37
V 0.5286 0.0572 0.7500  0.37
Cs 0.7908 0.5817 0.2500  -0.01
Cs 0.4183 0.2092 0.2500  -0.01

Summary:
Its total energy is -3.55 eV/atom. The value obtained for the energy relative to the elements is 2.9 eV per formula unit. The energy relative to the lowest polymorph listed for this composition comes out at 588.6 meV/atom. Its symmetry is P6_3/mmc. As for the density of states at the Fermi level: 14.4 states/eV per cell.

=====

No. 3
Compound: KNaSn2Pd
Source: Alexandria
Functional: PBE
Structure: relaxed

Lattice parameters (Å, degrees): 5.2307 5.2307 5.6004 90.00 90.00 90.00
Element x y z (fractional)
Sn 0.5000 0.0000 0.0000
Pd 0.0000 0.0000 0.0000
Sn 0.0000 0.5000 0.0000
Na 0.0000 0.0000 0.5000
K 0.5000 0.5000 0.5000

Summary:
Its total energy is -3.32 eV/atom. The value obtained for the energy relative to the elements is -1.0 eV per formula unit. Its symmetry is P4/mmm. As for the density of states at the Fermi level: 4.3 states/eV per cell.

=====

No. 4
Compound: RbNbAg3
Source: Alexandria
Functional: PBE
Structure: relaxed

Lattice parameters (Å, degrees): 5.3904 5.3904 5.3904 90.00 90.00 90.00
Each line ends with the local moment (μB).
Element x y z (fractional)
Ag 0.0000 0.5000 0.0000  0.02
Ag 0.5000 0.0000 0.0000  0.03
Ag 0.0000 0.0000 0.5000  0.00
Nb 0.0000 0.0000 0.0000  0.69
Rb 0.5000 0.5000 0.5000  0.00

Summary:
Its total energy is -2.99 eV/atom. The value obtained for the energy relative to the elements is 4.6 eV per formula unit. The energy relative to the lowest polymorph listed for this composition comes out at 0.0 meV/atom. Its symmetry is Pm-3m. As for the density of states at the Fermi level: 5.8 states/eV per cell.